Record 1
# Tm2GeO5, optimized geometry, DFT PBE
data_Tm2GeO5
_symmetry_space_group_name_H-M 'P 1'
_symmetry_Int_Tables_number 1
_cell_length_a 3.6653
_cell_length_b 10.2116
_cell_length_c 11.0202
_cell_angle_alpha 90.00
_cell_angle_beta 90.00
_cell_angle_gamma 90.00
loop_
_symmetry_equiv_pos_as_xyz
'x,y,z'
loop_
_atom_site_label
_atom_site_type_symbol
_atom_site_fract_x
_atom_site_fract_y
_atom_site_fract_z
O1 O 0.2500 0.2237 0.9617
O2 O 0.2500 0.9920 0.6050
O3 O 0.7500 0.4932 0.6558
O4 O 0.7500 0.2763 0.4617
O5 O 0.7500 0.7763 0.0383
O6 O 0.2500 0.7650 0.8812
O7 O 0.7500 0.9932 0.8442
O8 O 0.2500 0.4920 0.8950
O9 O 0.7500 0.7350 0.3812
O10 O 0.7500 0.5080 0.1050
O11 O 0.2500 0.2650 0.6188
O12 O 0.2500 0.7574 0.2292
O13 O 0.7500 0.2426 0.7708
O14 O 0.2500 0.0068 0.1558
O15 O 0.7500 0.7426 0.7292
O16 O 0.2500 0.2574 0.2708
O17 O 0.2500 0.7237 0.5383
O18 O 0.2500 0.5068 0.3442
O19 O 0.7500 0.0080 0.3950
O20 O 0.7500 0.2350 0.1188
Ge1 Ge 0.2500 0.1748 0.1213
Ge2 Ge 0.7500 0.3252 0.6213
Ge3 Ge 0.2500 0.6748 0.3787
Ge4 Ge 0.7500 0.8252 0.8787
Tm1 Tm 0.7500 0.3644 0.9451
Tm2 Tm 0.7500 0.8644 0.5549
Tm3 Tm 0.2500 0.6356 0.0549
Tm4 Tm 0.7500 0.3892 0.2788
Tm5 Tm 0.2500 0.1108 0.7788
Tm6 Tm 0.7500 0.8892 0.2212
Tm7 Tm 0.2500 0.6108 0.7212
Tm8 Tm 0.2500 0.1356 0.4451
# - Space-group type: Pnma, No. 62
# - Magnetic moment: 0.00 μB per atom
# - Raw formation energy: -2.962 eV/atom
# - Mass density: 7.90 g/cm3

Record 2
# CsCuIrBr2, optimized geometry, DFT PBE
data_CsCuIrBr2
_symmetry_space_group_name_H-M 'P 1'
_symmetry_Int_Tables_number 1
_cell_length_a 5.2825
_cell_length_b 4.9205
_cell_length_c 5.2825
_cell_angle_alpha 90.00
_cell_angle_beta 90.00
_cell_angle_gamma 90.00
loop_
_symmetry_equiv_pos_as_xyz
'x,y,z'
loop_
_atom_site_label
_atom_site_type_symbol
_atom_site_fract_x
_atom_site_fract_y
_atom_site_fract_z
Br1 Br 0.0000 0.0000 0.5000
Br2 Br 0.5000 0.0000 0.0000
Cs1 Cs 0.5000 0.5000 0.5000
Cu1 Cu 0.0000 0.5000 0.0000
Ir1 Ir 0.0000 0.0000 0.0000
# - Space-group type: P4/mmm, No. 123
# - Magnetic moment: 0.00 μB per atom
# - Raw formation energy: -0.077 eV/atom
# - Mass density: 6.63 g/cm3

Record 3
# RbLaBPd2, optimized geometry, DFT PBE
data_RbLaBPd2
_symmetry_space_group_name_H-M 'P 1'
_symmetry_Int_Tables_number 1
_cell_length_a 4.5890
_cell_length_b 5.0266
_cell_length_c 4.5890
_cell_angle_alpha 90.00
_cell_angle_beta 90.00
_cell_angle_gamma 90.00
loop_
_symmetry_equiv_pos_as_xyz
'x,y,z'
loop_
_atom_site_label
_atom_site_type_symbol
_atom_site_fract_x
_atom_site_fract_y
_atom_site_fract_z
Rb1 Rb 0.5000 0.5000 0.5000
La1 La 0.0000 0.5000 0.0000
B1 B 0.0000 0.0000 0.0000
Pd1 Pd 0.5000 0.0000 0.0000
Pd2 Pd 0.0000 0.0000 0.5000
# - Space-group type: P4/mmm, No. 123
# - Magnetic moment: 0.00 μB per atom
# - Mass density: 7.03 g/cm3
# - Energy of formation from the pure elements: 0.190 eV/atom

Record 4
# Tm8GaP3Se4, optimized geometry, DFT PBE
data_Tm8GaP3Se4
_symmetry_space_group_name_H-M 'P 1'
_symmetry_Int_Tables_number 1
_cell_length_a 7.9965
_cell_length_b 8.0518
_cell_length_c 7.9968
_cell_angle_alpha 119.77
_cell_angle_beta 120.00
_cell_angle_gamma 90.00
loop_
_symmetry_equiv_pos_as_xyz
'x,y,z'
loop_
_atom_site_label
_atom_site_type_symbol
_atom_site_fract_x
_atom_site_fract_y
_atom_site_fract_z
Ga1 Ga 0.0000 0.5000 0.0000
Tm1 Tm 0.2445 0.7325 0.9881
Tm2 Tm 0.2445 0.7325 0.4890
Tm3 Tm 0.7427 0.7281 0.4854
Tm4 Tm 0.7555 0.2675 0.5110
Tm5 Tm 0.2564 0.2675 0.0119
Tm6 Tm 0.7555 0.2675 0.0119
Tm7 Tm 0.7436 0.7325 0.9881
Tm8 Tm 0.2573 0.2719 0.5146
Se1 Se 0.0000 0.0000 0.0000
Se2 Se 0.0000 0.0000 0.5000
Se3 Se 0.5000 0.0000 0.0000
Se4 Se 0.5000 0.0000 0.5000
P1 P 0.5000 0.5000 0.0000
P2 P 0.5000 0.5000 0.5000
P3 P 0.0000 0.5000 0.5000
# - Space-group type: R-3m, No. 166
# - Magnetic moment: 0.00 μB per atom
# - Raw formation energy: -1.582 eV/atom
# - Mass density: 8.32 g/cm3

Record 5
# YTm2Al, optimized geometry, DFT PBE
data_YTm2Al
_symmetry_space_group_name_H-M 'P 1'
_symmetry_Int_Tables_number 1
_cell_length_a 3.5440
_cell_length_b 3.5440
_cell_length_c 10.5330
_cell_angle_alpha 80.31
_cell_angle_beta 80.31
_cell_angle_gamma 60.00
loop_
_symmetry_equiv_pos_as_xyz
'x,y,z'
loop_
_atom_site_label
_atom_site_type_symbol
_atom_site_fract_x
_atom_site_fract_y
_atom_site_fract_z
Al1 Al 0.6664 0.6664 0.0009
Tm1 Tm 0.2607 0.2607 0.2179
Tm2 Tm 0.0726 0.0726 0.7823
Y1 Y 0.5004 0.5004 0.4988
# - Space-group type: R3m, No. 160
# - Magnetic moment: 0.18 μB per atom
# - Mass density: 6.70 g/cm3
# - Energy of formation from the pure elements: -0.081 eV/atom

Record 6
# TiBe4Fe, optimized geometry, DFT PBE
data_TiBe4Fe
_symmetry_space_group_name_H-M 'P 1'
_symmetry_Int_Tables_number 1
_cell_length_a 4.2944
_cell_length_b 4.2944
_cell_length_c 4.2944
_cell_angle_alpha 60.00
_cell_angle_beta 60.00
_cell_angle_gamma 60.00
loop_
_symmetry_equiv_pos_as_xyz
'x,y,z'
loop_
_atom_site_label
_atom_site_type_symbol
_atom_site_fract_x
_atom_site_fract_y
_atom_site_fract_z
Be1 Be 0.6260 0.6260 0.1219
Be2 Be 0.6260 0.1219 0.6260
Be3 Be 0.1219 0.6260 0.6260
Be4 Be 0.6260 0.6260 0.6260
Fe1 Fe 0.0000 0.0000 0.0000
Ti1 Ti 0.2500 0.2500 0.2500
# - Space-group type: F-43m, No. 216
# - Magnetic moment: 0.00 μB per atom
# - Mass density: 4.14 g/cm3
# - Energy of formation from the pure elements: -0.372 eV/atom

Record 7
# CaHfSe2, optimized geometry, DFT PBE
data_CaHfSe2
_symmetry_space_group_name_H-M 'P 1'
_symmetry_Int_Tables_number 1
_cell_length_a 6.3330
_cell_length_b 6.3330
_cell_length_c 7.5513
_cell_angle_alpha 65.21
_cell_angle_beta 65.21
_cell_angle_gamma 90.00
loop_
_symmetry_equiv_pos_as_xyz
'x,y,z'
loop_
_atom_site_label
_atom_site_type_symbol
_atom_site_fract_x
_atom_site_fract_y
_atom_site_fract_z
Hf1 Hf 0.7500 0.2500 0.5000
Hf2 Hf 0.0000 0.0000 0.0000
Se1 Se 0.6563 0.1250 0.2500
Se2 Se 0.0937 0.6250 0.2500
Se3 Se 0.8750 0.9063 0.7500
Se4 Se 0.3750 0.3437 0.7500
Ca1 Ca 0.5000 0.5000 0.0000
Ca2 Ca 0.2500 0.7500 0.5000
# - Space-group type: I-42d, No. 122
# - Magnetic moment: 0.00 μB per atom
# - Raw formation energy: -0.992 eV/atom
# - Mass density: 5.13 g/cm3

Record 8
# Er2Pt3Rh3, optimized geometry, DFT PBE
data_Er2Pt3Rh3
_symmetry_space_group_name_H-M 'P 1'
_symmetry_Int_Tables_number 1
_cell_length_a 4.0924
_cell_length_b 4.0648
_cell_length_c 8.0540
_cell_angle_alpha 90.00
_cell_angle_beta 90.00
_cell_angle_gamma 90.00
loop_
_symmetry_equiv_pos_as_xyz
'x,y,z'
loop_
_atom_site_label
_atom_site_type_symbol
_atom_site_fract_x
_atom_site_fract_y
_atom_site_fract_z
Pt1 Pt 0.5000 0.5000 0.7486
Pt2 Pt 0.5000 0.0000 0.0000
Pt3 Pt 0.5000 0.5000 0.2514
Rh1 Rh 0.0000 0.5000 0.0000
Rh2 Rh 0.5000 0.0000 0.5000
Rh3 Rh 0.0000 0.5000 0.5000
Er1 Er 0.0000 0.0000 0.7476
Er2 Er 0.0000 0.0000 0.2524
# - Space-group type: Pmmm, No. 47
# - Magnetic moment: 0.00 μB per atom
# - Mass density: 15.23 g/cm3
# - Energy of formation from the pure elements: -0.816 eV/atom

Record 9
# SiSb2Pt, optimized geometry, DFT PBE
data_SiSb2Pt
_symmetry_space_group_name_H-M 'P 1'
_symmetry_Int_Tables_number 1
_cell_length_a 4.3617
_cell_length_b 4.5443
_cell_length_c 4.5445
_cell_angle_alpha 73.53
_cell_angle_beta 90.00
_cell_angle_gamma 90.00
loop_
_symmetry_equiv_pos_as_xyz
'x,y,z'
loop_
_atom_site_label
_atom_site_type_symbol
_atom_site_fract_x
_atom_site_fract_y
_atom_site_fract_z
Sb1 Sb 0.5000 0.3019 0.3020
Sb2 Sb 0.0000 0.9430 0.9430
Pt1 Pt 0.5000 0.7127 0.7127
Si1 Si 0.0000 0.5423 0.5423
# - Space-group type: Amm2, No. 38
# - Magnetic moment: 0.00 μB per atom
# - Raw formation energy: -0.155 eV/atom
# - Mass density: 8.97 g/cm3

Record 10
# Rb2BaSCl6, optimized geometry, DFT PBE
data_Rb2BaSCl6
_symmetry_space_group_name_H-M 'P 1'
_symmetry_Int_Tables_number 1
_cell_length_a 7.5171
_cell_length_b 7.5171
_cell_length_c 8.6099
_cell_angle_alpha 64.12
_cell_angle_beta 64.12
_cell_angle_gamma 90.00
loop_
_symmetry_equiv_pos_as_xyz
'x,y,z'
loop_
_atom_site_label
_atom_site_type_symbol
_atom_site_fract_x
_atom_site_fract_y
_atom_site_fract_z
Cl1 Cl 0.2214 0.2214 0.5573
Cl2 Cl 0.7786 0.7786 0.4427
Cl3 Cl 0.7189 0.7189 0.0000
Cl4 Cl 0.7189 0.2811 0.0000
Cl5 Cl 0.2811 0.7189 0.0000
Cl6 Cl 0.2811 0.2811 0.0000
Ba1 Ba 0.0000 0.0000 0.0000
S1 S 0.5000 0.5000 0.0000
Rb1 Rb 0.7500 0.2500 0.5000
Rb2 Rb 0.2500 0.7500 0.5000
# - Space-group type: I4/mmm, No. 139
# - Magnetic moment: 0.00 μB per atom
# - Raw formation energy: -1.413 eV/atom
# - Mass density: 2.40 g/cm3